Entry 1:
# CePaS

Crystalline CePaS at its relaxed geometry (GGA-PBE, Alexandria).

Computed properties:
DOS(E_F)   14.08 states/eV per cell
Formation energy (no corrections)   -0.757 eV per atom

Lattice parameters (Å, degrees): 5.5022 5.5022 7.9333 95.34 95.34 35.78
Fractional positions:
Ce  0.1318  0.1318  0.0896
Ce  0.8682  0.8682  0.9104
Pa  0.1289  0.1289  0.6464
Pa  0.8711  0.8711  0.3536
S  0.3985  0.3985  0.6335
S  0.6015  0.6015  0.3665

Entry 2:
# Sr4Ca4Ac

Crystalline Sr4Ca4Ac at its relaxed geometry (GGA-PBE, Alexandria).

Computed properties:
Energy of formation from the pure elements   0.04 eV per atom
DOS(E_F)   11.81 states/eV per cell

Lattice parameters (Å, degrees): 9.0574 9.0574 9.0574 95.99 95.99 142.30
Fractional positions:
Sr  0.0000  0.3264  0.3264
Sr  0.0000  0.6736  0.6736
Sr  0.3264  0.0000  0.3264
Sr  0.6736  0.0000  0.6736
Ca  0.3376  0.3376  0.6751
Ca  0.3376  0.6624  0.0000
Ca  0.6624  0.3376  0.0000
Ca  0.6624  0.6624  0.3249
Ac  0.0000  0.0000  0.0000

Entry 3:
# FeAg2Se

Crystalline FeAg2Se at its relaxed geometry (GGA-PBE, Alexandria).

Computed properties:
DOS(E_F)   3.29 states/eV per cell
Formation energy (no corrections)   0.144 eV per atom

Lattice parameters (Å, degrees): 8.9477 8.9477 8.9477 19.55 19.55 19.55
Fractional positions:
Fe  0.0000  0.0000  0.0000
Ag  0.5030  0.5030  0.5030
Ag  0.7479  0.7479  0.7479
Se  0.2742  0.2742  0.2742

Entry 4:
# Tl4Hg2SbAs

Crystalline Tl4Hg2SbAs at its relaxed geometry (GGA-PBE, Alexandria).

Computed properties:
DOS(E_F)   3.92 states/eV per cell
Formation energy (no corrections)   0.044 eV per atom

Lattice parameters (Å, degrees): 7.4277 4.6475 7.9055 90.00 111.21 90.00
Fractional positions:
Tl  0.2133  0.0000  0.2231
Tl  0.2201  0.5000  0.7566
Tl  0.7799  0.5000  0.2434
Tl  0.7867  0.0000  0.7769
Hg  0.5000  0.0000  0.0000
Hg  0.5000  0.5000  0.5000
Sb  0.0000  0.0000  0.5000
As  0.0000  0.5000  0.0000

Entry 5:
# Zn2CdPt

Crystalline Zn2CdPt at its relaxed geometry (GGA-PBE, Alexandria).

Computed properties:
Energy of formation from the pure elements   -0.24 eV per atom
DOS(E_F)   1.15 states/eV per cell

Lattice parameters (Å, degrees): 2.9386 3.6083 6.2200 90.00 90.00 90.00
Fractional positions:
Zn  0.0000  0.0000  0.2170
Zn  0.0000  0.0000  0.7830
Cd  0.5000  0.5000  0.5000
Pt  0.5000  0.5000  0.0000

Entry 6:
# DyAs2Rh3

Crystalline DyAs2Rh3 at its relaxed geometry (GGA-PBE, Alexandria).

Computed properties:
Energy of formation from the pure elements   -0.86 eV per atom
DOS(E_F)   8.05 states/eV per cell

Lattice parameters (Å, degrees): 8.4394 8.4394 9.8559 107.22 107.22 27.28
Fractional positions:
Dy  0.0000  0.0000  0.0000
Dy  0.1562  0.1562  0.6959
Dy  0.8438  0.8438  0.3041
As  0.1948  0.1948  0.1291
As  0.3623  0.3623  0.5449
As  0.4586  0.4586  0.2189
As  0.5414  0.5414  0.7811
As  0.6377  0.6377  0.4551
As  0.8052  0.8052  0.8709
Rh  0.0402  0.0402  0.3258
Rh  0.2194  0.2194  0.3918
Rh  0.3196  0.3196  0.0433
Rh  0.3791  0.3791  0.7990
Rh  0.5000  0.5000  0.5000
Rh  0.6209  0.6209  0.2010
Rh  0.6804  0.6804  0.9567
Rh  0.7806  0.7806  0.6082
Rh  0.9598  0.9598  0.6742

Entry 7:
# SrMnHgS2

Crystalline SrMnHgS2 at its relaxed geometry (GGA-PBE, Alexandria).

Computed properties:
DOS(E_F)   2.16 states/eV per cell
Formation energy (no corrections)   0.553 eV per atom

Lattice parameters (Å, degrees): 5.1319 5.1319 5.8600 90.00 90.00 90.00
Fractional positions:
Sr  0.0000  0.0000  0.0000
Mn  0.5000  0.5000  0.0000
Hg  0.0000  0.0000  0.5000
S  0.0000  0.5000  0.5000
S  0.5000  0.0000  0.5000

Entry 8:
# Tl2ZnAs2

Crystalline Tl2ZnAs2 at its relaxed geometry (GGA-PBE, Alexandria).

Computed properties:
Energy of formation from the pure elements   0.16 eV per atom
DOS(E_F)   1.64 states/eV per cell
ΔE to the lowest computed polymorph   0.1443 eV/atom

Lattice parameters (Å, degrees): 9.1941 9.1941 9.1941 155.77 155.77 34.53
Fractional positions:
Tl  0.1036  0.1036  0.0000
Tl  0.8964  0.8964  0.0000
Zn  0.5000  0.5000  0.0000
As  0.2500  0.7500  0.5000
As  0.7500  0.2500  0.5000

Entry 9:
# Pa2GaPdN5

Crystalline Pa2GaPdN5 at its relaxed geometry (GGA-PBE, Alexandria).

Computed properties:
Formation energy (no corrections)   -0.789 eV per atom

Lattice parameters (Å, degrees): 3.5110 9.8924 6.9340 90.00 100.25 90.00
Fractional positions:
Pa  0.0170  0.0000  0.2534
Pa  0.3116  0.4223  0.2850
Pa  0.6884  0.9223  0.7150
Pa  0.9830  0.5000  0.7466
Ga  0.4729  0.7082  0.0298
Ga  0.5271  0.2082  0.9702
Pd  0.1860  0.7230  0.4225
Pd  0.8140  0.2230  0.5775
N  0.0048  0.7696  0.1217
N  0.1257  0.0413  0.5891
N  0.2493  0.7549  0.7392
N  0.4436  0.3897  0.6049
N  0.4952  0.0108  0.0132
N  0.5048  0.5108  0.9868
N  0.5564  0.8897  0.3951
N  0.7507  0.2549  0.2608
N  0.8743  0.5413  0.4109
N  0.9952  0.2696  0.8783

Entry 10:
# Y2ZrTe4

Crystalline Y2ZrTe4 at its relaxed geometry (GGA-PBE, Alexandria).

Computed properties:
DOS(E_F)   1.37 states/eV per cell
Formation energy (no corrections)   -1.210 eV per atom

Lattice parameters (Å, degrees): 8.0856 8.0856 7.5504 117.33 117.33 30.62
Fractional positions:
Y  0.2504  0.2504  0.2348
Y  0.7496  0.7496  0.7652
Zr  0.0000  0.0000  0.0000
Te  0.1129  0.1129  0.7811
Te  0.3806  0.3806  0.7101
Te  0.6194  0.6194  0.2899
Te  0.8871  0.8871  0.2189

Entry 11:
# MnNiIr2

Crystalline MnNiIr2 at its relaxed geometry (GGA-PBE, Alexandria).

Computed properties:
Energy of formation from the pure elements   -0.12 eV per atom
DOS(E_F)   3.91 states/eV per cell

Lattice parameters (Å, degrees): 4.6345 4.6345 4.6345 132.79 132.79 68.99
Fractional positions:
Mn  0.0000  0.0000  0.0000
Ni  0.2500  0.7500  0.5000
Ir  0.5000  0.5000  0.0000
Ir  0.7500  0.2500  0.5000

Entry 12:
# La2MgCd

Crystalline La2MgCd at its relaxed geometry (GGA-PBE, Alexandria).

Computed properties:
Energy of formation from the pure elements   -0.12 eV per atom
DOS(E_F)   3.21 states/eV per cell

Lattice parameters (Å, degrees): 3.5311 3.5311 9.5554 90.00 90.00 90.00
Fractional positions:
La  0.0000  0.0000  0.0000
La  0.5000  0.5000  0.3075
Mg  0.0000  0.0000  0.5685
Cd  0.5000  0.5000  0.7524